Below is crystalline Mn5Be2Nb2Ga at its relaxed geometry, with properties calculated at the PBE level.

Cell and atoms, written as POSCAR:
```
Mn5Be2Nb2Ga
1.0
8.718 0.000 0.000
0.000 8.718 0.000
0.000 0.000 3.277
Mn Be Nb Ga
10 4 4 2
Direct
0.000 0.500 0.000
0.067 0.215 0.000
0.215 0.933 0.000
0.285 0.433 0.000
0.433 0.715 0.000
0.500 0.000 0.000
0.567 0.285 0.000
0.715 0.567 0.000
0.785 0.067 0.000
0.933 0.785 0.000
0.119 0.381 0.500
0.381 0.881 0.500
0.619 0.119 0.500
0.881 0.619 0.500
0.175 0.675 0.500
0.325 0.175 0.500
0.675 0.825 0.500
0.825 0.325 0.500
0.000 0.000 0.500
0.500 0.500 0.500
```

Summary:
E: -155.104 eV/cell
formation energy from the elements: -10.47 kJ per mole of atoms
total magnetization: 15.9 μB/cell
space-group type: P4/mbm, No. 127

***

Below is crystalline Rb3LiH4 at its relaxed geometry, with properties calculated at the PBE level.

Cell and atoms, written as POSCAR:
```
Rb3LiH4
1.0
-3.509 3.509 3.509
3.509 -3.509 3.509
3.509 3.509 -3.509
Rb Li H
3 1 4
Direct
0.000 0.500 0.500
0.500 0.000 0.500
0.500 0.500 0.000
0.000 0.000 0.000
0.000 0.000 0.334
0.000 0.334 0.000
0.334 0.000 0.000
0.666 0.666 0.666
```

Summary:
E: -19.201 eV/cell
total magnetization: 0.0 μB/cell
space-group type: I-43m, No. 217
energy above the most stable polymorph in this dataset: 5 meV per atom

***

Below is crystalline CsInSnCl4 at its relaxed geometry, with properties calculated at the PBE level.

Cell and atoms, written as POSCAR:
```
CsInSnCl4
1.0
-2.803 2.803 8.409
2.803 -2.803 8.409
2.803 2.803 -8.409
Cs In Sn Cl
1 1 1 4
Direct
0.000 0.000 0.000
0.713 0.713 0.000
0.357 0.357 0.000
0.202 0.202 0.000
0.359 0.859 0.500
0.549 0.549 0.000
0.859 0.359 0.500
```

Summary:
E: -23.577 eV/cell
total magnetization: 0.0 μB/cell
E_form (uncorrected): -1.23 eV/atom
space-group type: I4mm, No. 107

***

Below is crystalline Ac8HgPd2 at its relaxed geometry, with properties calculated at the PBE level.

Cell and atoms, written as POSCAR:
```
Ac8HgPd2
1.0
4.628 -7.332 0.000
4.628 7.332 0.000
-1.761 0.000 6.174
Ac Hg Pd
8 1 2
Direct
0.000 0.000 0.000
0.039 0.296 0.602
0.157 0.617 0.193
0.296 0.039 0.602
0.469 0.727 0.795
0.617 0.157 0.193
0.727 0.469 0.795
0.758 0.758 0.381
0.382 0.382 0.067
0.084 0.678 0.688
0.678 0.084 0.688
```

Summary:
E: -46.379 eV/cell
formation energy from the elements: -24.77 kJ per mole of atoms
total magnetization: 0.0 μB/cell
space-group type: Cm, No. 8

***

Below is crystalline Y2SbNCl at its relaxed geometry, with properties calculated at the PBE level.

Cell and atoms, written as POSCAR:
```
Y2SbNCl
1.0
5.239 0.000 0.000
0.000 5.239 0.000
0.000 0.000 4.007
Y Sb N Cl
2 1 1 1
Direct
0.000 0.500 0.000
0.500 0.000 0.000
0.000 0.000 0.500
0.500 0.500 0.500
0.500 0.500 0.000
```

Summary:
E: -27.708 eV/cell
total magnetization: 0.0 μB/cell
E_form (uncorrected): -0.10 eV/atom
space-group type: P4/mmm, No. 123

***

Below is crystalline MgPSeBr2 at its relaxed geometry, with properties calculated at the PBE level.

Cell and atoms, written as POSCAR:
```
MgPSeBr2
1.0
5.007 0.000 0.000
0.000 5.007 0.000
0.000 0.000 5.138
Mg P Se Br
1 1 1 2
Direct
0.000 0.000 0.000
0.500 0.500 0.500
0.500 0.500 0.000
0.000 0.500 0.500
0.500 0.000 0.500
```

Summary:
E: -13.967 eV/cell
total magnetization: 0.0 μB/cell
E_form (uncorrected): -0.03 eV/atom
space-group type: P4/mmm, No. 123
energy above the most stable polymorph in this dataset: 0 meV per atom

***

Below is crystalline MgOs at its relaxed geometry, with properties calculated at the PBE level.

Cell and atoms, written as POSCAR:
```
MgOs
1.0
0.000 3.922 7.293
2.410 0.000 7.293
2.410 3.922 0.000
Mg Os
4 4
Direct
0.042 0.708 0.042
0.292 0.958 0.292
0.708 0.042 0.708
0.958 0.292 0.958
0.291 0.291 0.459
0.459 0.459 0.291
0.541 0.541 0.709
0.709 0.709 0.541
```

Summary:
E: -49.239 eV/cell
formation energy from the elements: 24.83 kJ per mole of atoms
total magnetization: 0.0 μB/cell
space-group type: Fddd, No. 70

***

Below is crystalline BeTcOs3 at its relaxed geometry, with properties calculated at the PBE level.

Cell and atoms, written as POSCAR:
```
BeTcOs3
1.0
4.078 0.000 0.000
0.000 4.078 0.000
0.000 0.000 4.078
Be Tc Os
1 1 3
Direct
0.000 0.000 0.000
0.500 0.500 0.500
0.000 0.000 0.500
0.000 0.500 0.000
0.500 0.000 0.000
```

Summary:
E: -44.654 eV/cell
formation energy from the elements: 60.35 kJ per mole of atoms
total magnetization: 0.0 μB/cell
space-group type: Pm-3m, No. 221
energy above the most stable polymorph in this dataset: 0 meV per atom

***

Q: E of number 8 (BeTcOs3)?
A: -44.654 eV/cell

***

Q: E of number 2 (Rb3LiH4)?
A: -19.201 eV/cell

***

What did the fifth record say?
Below is crystalline Y2SbNCl at its relaxed geometry, with properties calculated at the PBE level.

Cell and atoms, written as POSCAR:
```
Y2SbNCl
1.0
5.239 0.000 0.000
0.000 5.239 0.000
0.000 0.000 4.007
Y Sb N Cl
2 1 1 1
Direct
0.000 0.500 0.000
0.500 0.000 0.000
0.000 0.000 0.500
0.500 0.500 0.500
0.500 0.500 0.000
```

Summary:
E: -27.708 eV/cell
total magnetization: 0.0 μB/cell
E_form (uncorrected): -0.10 eV/atom
space-group type: P4/mmm, No. 123

***

Q: Look up the E of the third one.
A: -23.577 eV/cell